1.
Below is crystalline AgRhF6 at its relaxed geometry, with properties calculated at the GGA-PBE level.

Cell: 5.090 5.090 5.236 Å, 70.45 70.45 75.65°
Fractional positions:
Ag1 0.500 0.500 0.500
Rh1 0.000 0.000 0.000
F1 0.140 0.707 0.290
F2 0.707 0.140 0.290
F3 0.293 0.860 0.710
F4 0.860 0.293 0.710
F5 0.247 0.247 0.965
F6 0.753 0.753 0.035

Output
ΔE_f (raw)	-1.3632	eV per atom
energy above the lowest structure with this stoichiometry	27	meV/atom

2.
Below is crystalline NaYTe2 at its relaxed geometry, with properties calculated at the GGA-PBE level.

Cell: 4.307 4.307 8.376 Å, 75.10 75.10 60.00°
Fractional positions:
Na1 0.668 0.668 0.997
Y1 0.500 0.500 0.501
Te1 0.088 0.088 0.737
Te2 0.245 0.245 0.264

Output
ΔE_f (raw)	-1.2395	eV per atom

3.
Below is crystalline InSnPb2 at its relaxed geometry, with properties calculated at the GGA-PBE level.

Cell: 4.817 4.966 4.966 Å, 90.00 90.00 90.00°
Fractional positions:
Pb1 0.000 0.000 0.500
Pb2 0.000 0.500 0.000
Sn1 0.500 0.500 0.500
In1 0.500 0.000 0.000

Output
energy of formation from the pure elements	0.029	eV/atom
energy above the lowest structure with this stoichiometry	15	meV/atom

4.
Below is crystalline K2CrSe at its relaxed geometry, with properties calculated at the GGA-PBE level.

Cell: 3.902 3.902 9.155 Å, 90.00 90.00 90.00°
Fractional positions:
Cr1 0.500 0.500 0.750
K1 0.000 0.000 0.057
K2 0.000 0.000 0.443
Se1 0.500 0.500 0.250

Output
ΔE_f (raw)	0.1529	eV per atom

5.
Below is crystalline Li2Zn5Ir2Pd at its relaxed geometry, with properties calculated at the GGA-PBE level.

Cell: 2.945 10.661 10.661 Å, 90.00 90.00 90.00°
Fractional positions:
Li1 0.000 0.671 0.171
Li2 0.000 0.329 0.829
Li3 0.000 0.171 0.329
Li4 0.000 0.829 0.671
Zn1 0.500 0.185 0.070
Zn2 0.500 0.815 0.930
Zn3 0.500 0.070 0.815
Zn4 0.500 0.685 0.430
Zn5 0.500 0.930 0.185
Zn6 0.500 0.315 0.570
Zn7 0.500 0.570 0.685
Zn8 0.500 0.430 0.315
Zn9 0.500 0.500 0.000
Zn10 0.500 0.000 0.500
Ir1 0.000 0.136 0.636
Ir2 0.000 0.864 0.364
Ir3 0.000 0.636 0.864
Ir4 0.000 0.364 0.136
Pd1 0.000 0.000 0.000
Pd2 0.000 0.500 0.500

Output
energy of formation from the pure elements	-0.259	eV/atom

6.
Below is crystalline AcSmIr2 at its relaxed geometry, with properties calculated at the GGA-PBE level.

Cell: 4.137 4.292 5.944 Å, 90.00 110.36 90.00°
Fractional positions:
Ac1 0.437 0.500 0.412
Sm1 0.723 0.000 0.985
Ir1 0.161 0.500 0.861
Ir2 0.010 0.000 0.560

Output
energy of formation from the pure elements	-0.606	eV/atom
energy above the lowest structure with this stoichiometry	0	meV/atom

7.
Below is crystalline K4Na4Cd at its relaxed geometry, with properties calculated at the GGA-PBE level.

Cell: 7.542 9.732 7.542 Å, 67.20 90.00 112.80°
Fractional positions:
K1 0.202 0.811 0.390
K2 0.610 0.811 0.798
K3 0.390 0.189 0.610
K4 0.798 0.189 0.202
Na1 0.352 0.337 0.015
Na2 0.985 0.337 0.648
Na3 0.015 0.663 0.985
Na4 0.648 0.663 0.352
Cd1 0.000 0.000 0.000

Output
energy of formation from the pure elements	0.052	eV/atom

8.
Below is crystalline TlCr2Te at its relaxed geometry, with properties calculated at the GGA-PBE level.

Cell: 5.229 5.229 5.229 Å, 130.09 123.35 78.83°
Fractional positions:
Cr1 0.003 0.003 0.000
Cr2 0.497 0.497 0.000
Te1 0.750 0.250 0.500
Tl1 0.250 0.750 0.500

Output
ΔE_f (raw)	0.5746	eV per atom
energy above the lowest structure with this stoichiometry	233	meV/atom

9.
Below is crystalline La3PBr at its relaxed geometry, with properties calculated at the GGA-PBE level.

Cell: 5.640 5.640 5.640 Å, 90.00 90.00 90.00°
Fractional positions:
P1 0.000 0.000 0.000
Br1 0.500 0.500 0.500
La1 0.000 0.500 0.000
La2 0.000 0.000 0.500
La3 0.500 0.000 0.000

Output
ΔE_f (raw)	-0.6394	eV per atom
energy above the lowest structure with this stoichiometry	0	meV/atom

10.
Below is crystalline HfSnBi at its relaxed geometry, with properties calculated at the GGA-PBE level.

Cell: 3.221 5.254 5.254 Å, 120.00 90.00 90.00°
Fractional positions:
Hf1 0.166 0.000 0.000
Bi1 0.667 0.667 0.333
Sn1 0.168 0.333 0.667

Output
energy of formation from the pure elements	0.134	eV/atom
energy above the lowest structure with this stoichiometry	327	meV/atom

11.
Below is crystalline CoWAu2 at its relaxed geometry, with properties calculated at the GGA-PBE level.

Cell: 2.786 2.786 8.073 Å, 90.00 90.00 90.02°
Fractional positions:
Au1 0.000 0.000 0.013
Au2 0.000 0.000 0.487
Co1 0.500 0.500 0.250
W1 0.500 0.500 0.750

Output
energy of formation from the pure elements	0.381	eV/atom
energy above the lowest structure with this stoichiometry	198	meV/atom

12.
Below is crystalline InBi2Te at its relaxed geometry, with properties calculated at the GGA-PBE level.

Cell: 6.575 6.575 9.266 Å, 69.22 69.22 90.00°
Fractional positions:
Te1 0.000 0.000 0.000
Te2 0.750 0.250 0.500
Bi1 0.620 0.125 0.250
Bi2 0.130 0.625 0.250
Bi3 0.375 0.380 0.750
Bi4 0.875 0.870 0.750
In1 0.500 0.500 0.000
In2 0.250 0.750 0.500

Output
ΔE_f (raw)	0.1838	eV per atom
energy above the lowest structure with this stoichiometry	59	meV/atom

Looking at volume for the records above, in order, we have 14.88 32.12 29.69 34.85 16.74 24.74 51.46 22.12 35.88 25.67 15.67 43.31 Å³/atom.